(1)
Cs2AgI3 | GGA-PBE | relaxed

The value obtained for the density is 4.4 g/cm³. For the raw total energy, the calculation gives -2.67 eV/atom.

It has space group Pnma (No. 62), with a = 14.724 Å, b = 5.047 Å, c = 15.392 Å, α = 90.00°, β = 90.00° and γ = 90.00°. Symmetry generates all atoms from Cs at (0.014, 0.250, 0.176), Cs at (0.176, 0.250, 0.516), Ag at (0.245, 0.750, 0.304), I at (0.059, 0.750, 0.361), I at (0.134, 0.250, 0.950) and I at (0.223, 0.750, 0.712).

=====

(2)
CsAg2I3 | GGA-PBE | relaxed

The value obtained for the density is 5.0 g/cm³. For the raw total energy, the calculation gives -2.56 eV/atom.

It has space group Pnma (No. 62), with a = 13.949 Å, b = 6.204 Å, c = 11.226 Å, α = 90.00°, β = 90.00° and γ = 90.00°. Symmetry generates all atoms from Cs at (0.188, 0.250, 0.007), Ag at (0.001, 0.000, 0.332), I at (0.120, 0.250, 0.502), I at (0.129, 0.750, 0.802) and I at (0.141, 0.750, 0.212).

=====

(3)
CsAgI3 | GGA-PBE | relaxed

The value obtained for the density is 4.9 g/cm³. For the raw total energy, the calculation gives -2.32 eV/atom.

It has space group Pnma (No. 62), with a = 9.789 Å, b = 4.772 Å, c = 18.024 Å, α = 90.00°, β = 90.00° and γ = 90.00°. Symmetry generates all atoms from Cs at (0.081, 0.250, 0.176), Ag at (0.173, 0.750, 0.453), I at (0.043, 0.750, 0.590), I at (0.151, 0.750, 0.001) and I at (0.230, 0.250, 0.808).

=====

(4)
Cs2InAgI6 | GGA-PBE | relaxed

As for the energy above the most stable polymorph in this dataset: 0.000 kcal/mol of atoms. The value obtained for the density is 4.9 g/cm³. For the raw total energy, the calculation gives -2.52 eV/atom.

It has space group R-3 (No. 148, hexagonal axes), with a = 8.5247 Å, b = 8.5247 Å, c = 20.3886 Å, α = 90.00°, β = 90.00° and γ = 120.00°. Symmetry generates all atoms from Cs at (0.0000, 0.0000, 0.2487), In at (0.0000, 0.0000, 0.5000), Ag at (0.0000, 0.0000, 0.0000) and I at (0.0037, 0.4602, 0.2502).